Material: PtAuSe
Method: DFT, meta-GGA SCAN
State: PBEsol geometry

Unit cell a=3.5593 b=3.5593 c=5.0620 alpha=90.00 beta=90.00 gamma=120.00
Space group P3m1 (No. 156)
One atom of each set of equivalent atoms:
Pt: 0.0000 0.0000 0.0000
Au: 0.3333 0.6667 0.3374
Se: 0.6667 0.3333 0.7238

DFT total energy: -159.463 eV/cell
density of states at the Fermi level: 0.53 states/eV per atom
formation energy from raw total energies: -3 kJ/mol of formula units

Material: HgIr2Os
Method: DFT, meta-GGA SCAN
State: PBEsol geometry

Unit cell a=2.739 b=3.767 c=6.036 alpha=90.00 beta=90.00 gamma=90.00
Space group Pmm2 (No. 25)
One atom of each set of equivalent atoms:
Hg: 0.000 0.000 0.000
Ir: 0.000 0.000 0.507
Ir: 0.500 0.500 0.275
Os: 0.500 0.500 0.710

DFT total energy: -280.102 eV/cell
energy of formation from the pure elements: 2.142 eV/f.u.
density of states at the Fermi level: 0.72 states/eV per atom

Material: BaTlBr2
Method: DFT, meta-GGA SCAN
State: PBEsol geometry

Unit cell a=3.863 b=3.994 c=9.108 alpha=90.00 beta=90.00 gamma=90.00
Space group Pmmm (No. 47)
One atom of each set of equivalent atoms:
Ba: 0.000 0.000 0.000
Tl: 0.500 0.000 0.500
Br: 0.500 0.500 0.196

DFT total energy: -156.773 eV/cell
energy above the lowest structure with this stoichiometry: 0 meV/atom
density of states at the Fermi level: 0.37 states/eV per atom
formation energy from raw total energies: -574 kJ/mol of formula units

Material: LaNiSe2
Method: DFT, meta-GGA SCAN
State: PBEsol geometry

Unit cell a=6.890 b=6.890 c=6.890 alpha=90.00 beta=90.00 gamma=90.00
Space group Fm-3m (No. 225)
One atom of each set of equivalent atoms:
La: 0.000 0.000 0.000
Ni: 0.000 0.000 0.500
Se: 0.250 0.250 0.250

DFT total energy: -411.869 eV/cell
density of states at the Fermi level: 1.30 states/eV per atom
formation energy from raw total energies: -341 kJ/mol of formula units

Material: Sc2ReHgPt
Method: DFT, meta-GGA SCAN
State: PBEsol geometry

Unit cell a=4.983 b=4.983 c=4.831 alpha=90.00 beta=90.00 gamma=90.00
Space group P4/mmm (No. 123)
One atom of each set of equivalent atoms:
Sc: 0.000 0.500 0.000
Re: 0.000 0.000 0.500
Hg: 0.500 0.500 0.000
Pt: 0.500 0.500 0.500

DFT total energy: -231.320 eV/cell
energy of formation from the pure elements: 6.611 eV/f.u.
density of states at the Fermi level: 0.90 states/eV per atom

Material: Tl2TcRh
Method: DFT, meta-GGA SCAN
State: PBEsol geometry

Unit cell a=2.950 b=2.950 c=8.733 alpha=90.00 beta=90.00 gamma=90.00
Space group P4mm (No. 99)
One atom of each set of equivalent atoms:
Tl: 0.000 0.000 0.000
Tl: 0.500 0.500 0.332
Tc: 0.500 0.500 0.752
Rh: 0.000 0.000 0.579

DFT total energy: -212.149 eV/cell
energy above the lowest structure with this stoichiometry: 0 meV/atom
energy of formation from the pure elements: 1.399 eV/f.u.
density of states at the Fermi level: 0.72 states/eV per atom

Material: ZrSn2PbI
Method: DFT, meta-GGA SCAN
State: PBEsol geometry

Unit cell a=5.591 b=5.591 c=5.776 alpha=90.00 beta=90.00 gamma=90.00
Space group P4/mmm (No. 123)
One atom of each set of equivalent atoms:
Zr: 0.000 0.000 0.000
Sn: 0.000 0.500 0.500
Pb: 0.500 0.500 0.500
I: 0.500 0.500 0.000

DFT total energy: -209.881 eV/cell
density of states at the Fermi level: 1.03 states/eV per atom
formation energy from raw total energies: 500 kJ/mol of formula units

Material: LaBe2Au2
Method: DFT, meta-GGA SCAN
State: PBEsol geometry

Unit cell a=4.217 b=4.217 c=9.784 alpha=90.00 beta=90.00 gamma=90.00
Space group I4/mmm (No. 139)
One atom of each set of equivalent atoms:
La: 0.000 0.000 0.000
Be: 0.000 0.500 0.250
Au: 0.000 0.000 0.357

DFT total energy: -387.167 eV/cell
energy of formation from the pure elements: -3.458 eV/f.u.
density of states at the Fermi level: 0.47 states/eV per atom

Material: YAlIr2
Method: DFT, meta-GGA SCAN
State: PBEsol geometry

Unit cell a=2.9551 b=2.9551 c=25.9007 alpha=90.00 beta=90.00 gamma=120.00
Space group R-3m (No. 166, hexagonal axes)
One atom of each set of equivalent atoms:
Y: 0.0000 0.0000 0.0000
Al: 0.0000 0.0000 0.5000
Ir: 0.0000 0.0000 0.2409

DFT total energy: -537.707 eV/cell
energy of formation from the pure elements: -1.443 eV/f.u.
density of states at the Fermi level: 0.62 states/eV per atom

Material: SrLiZr2
Method: DFT, meta-GGA SCAN
State: PBEsol geometry

Unit cell a=3.401 b=3.401 c=8.492 alpha=90.00 beta=90.00 gamma=90.00
Space group P4/mmm (No. 123)
One atom of each set of equivalent atoms:
Sr: 0.000 0.000 0.000
Li: 0.000 0.000 0.500
Zr: 0.500 0.500 0.325

DFT total energy: -83.961 eV/cell
energy above the lowest structure with this stoichiometry: 0 meV/atom
energy of formation from the pure elements: 2.102 eV/f.u.
density of states at the Fermi level: 0.84 states/eV per atom

Material: PbCF2
Method: DFT, meta-GGA SCAN
State: PBEsol geometry

Unit cell a=3.628 b=3.628 c=15.625 alpha=90.00 beta=90.00 gamma=90.00
Space group I-42d (No. 122)
One atom of each set of equivalent atoms:
Pb: 0.000 0.000 0.000
C: 0.000 0.000 0.500
F: 0.233 0.250 0.625

DFT total energy: -370.586 eV/cell
density of states at the Fermi level: 0.23 states/eV per atom
formation energy from raw total energies: 30 kJ/mol of formula units

Material: Li2V3O6
Method: DFT, meta-GGA SCAN
State: PBEsol geometry

Unit cell a=4.813 b=4.816 c=5.160 alpha=98.15 beta=97.99 gamma=119.89
Space group P1 (No. 1)
One atom of each set of equivalent atoms:
Li: 0.000 0.000 0.000
Li: 0.339 0.660 0.999
V: 0.132 0.794 0.499
V: 0.530 0.475 0.498
V: 0.812 0.190 0.499
O: 0.101 0.417 0.280
O: 0.221 0.221 0.708
O: 0.409 0.070 0.261
O: 0.560 0.883 0.708
O: 0.755 0.762 0.279
O: 0.922 0.583 0.764

DFT total energy: -122.707 eV/cell
energy above the lowest structure with this stoichiometry: 0 meV/atom
density of states at the Fermi level: 0.00 states/eV per atom
formation energy from raw total energies: -2709 kJ/mol of formula units